Here is a relaxed Sr10Mg2Fe3Mo5O30 crystal from the Alexandria database. Energies are from GGA+U.

## Properties
Uncorrected energy, eV/cell: -334.25

Cell lengths 7.937, 9.680, 9.834 Å; angles 81.60, 66.26, 65.87 degrees
Fractional coordinates of all 50 atoms:
Sr1 0.049 0.096 0.302
Sr2 0.156 0.293 0.893
Sr3 0.253 0.499 0.499
Sr4 0.344 0.705 0.103
Sr5 0.449 0.902 0.698
Sr6 0.551 0.098 0.302
Sr7 0.656 0.295 0.897
Sr8 0.747 0.501 0.501
Sr9 0.844 0.707 0.107
Sr10 0.951 0.904 0.698
Mg1 0.298 0.601 0.801
Mg2 0.702 0.399 0.199
Fe1 0.100 0.200 0.598
Fe2 0.500 0.000 0.000
Fe3 0.900 0.800 0.402
Mo1 0.000 0.000 0.000
Mo2 0.197 0.402 0.200
Mo3 0.398 0.800 0.403
Mo4 0.602 0.200 0.597
Mo5 0.803 0.598 0.800
O1 0.051 0.100 0.796
O2 0.067 0.564 0.783
O3 0.087 0.600 0.302
O4 0.104 0.806 0.906
O5 0.122 0.828 0.417
O6 0.151 0.303 0.396
O7 0.245 0.499 0.011
O8 0.279 0.965 0.981
O9 0.282 0.000 0.497
O10 0.301 0.208 0.104
O11 0.327 0.226 0.610
O12 0.350 0.701 0.599
O13 0.449 0.902 0.199
O14 0.460 0.373 0.186
O15 0.489 0.389 0.701
O16 0.511 0.611 0.299
O17 0.540 0.627 0.814
O18 0.551 0.098 0.801
O19 0.650 0.299 0.401
O20 0.673 0.774 0.390
O21 0.699 0.792 0.896
O22 0.718 0.000 0.503
O23 0.721 0.035 0.019
O24 0.755 0.501 0.989
O25 0.849 0.697 0.604
O26 0.878 0.172 0.583
O27 0.896 0.194 0.094
O28 0.913 0.400 0.698
O29 0.933 0.436 0.217
O30 0.949 0.900 0.204